This record from the Open Quantum Materials Database describes a geometry-optimized Nd6Te5S structure. The functional is GGA-PBE.

Properties
SG   C2/m (12)
Raw total energy   -5.57 eV/atom

Structure (POSCAR):
```
Nd6Te5S
1.0
3.8575 -6.6512 0.0000
3.8575 6.6512 0.0000
-2.5274 0.0000 7.2308
Nd Te S
6 5 1
Cartesian
-0.1229 1.9753 5.2311
0.9949 0.0000 1.9261
-0.1229 -1.9753 5.2311
5.3106 1.9753 1.9997
4.1927 0.0000 5.3047
5.3106 -1.9753 1.9997
3.8575 4.2853 0.0000
2.5938 2.1807 3.6154
3.8575 0.0000 0.0000
2.5938 -2.1807 3.6154
3.8575 -4.2853 0.0000
-1.2637 0.0000 3.6154
```



This record from the Open Quantum Materials Database describes a geometry-optimized YEr2Sc3As2Os structure. The functional is GGA-PBE.

Properties
SG   Amm2 (38)
Raw total energy   -6.98 eV/atom

Structure (POSCAR):
```
YEr2Sc3As2Os
1.0
4.0831 0.0000 0.0000
0.0000 6.4985 3.7628
0.0000 -6.4985 3.7628
Y Er Sc As Os
1 2 3 2 1
Cartesian
0.0000 0.0000 0.0000
0.0000 -2.6418 4.5975
0.0000 2.6418 4.5975
2.0415 -1.5317 2.1855
2.0415 1.5317 2.1855
2.0415 0.0000 4.8717
2.0415 -4.3177 3.0683
2.0415 4.3177 3.0683
0.0000 0.0000 3.1141
```



This record from the Open Quantum Materials Database describes a geometry-optimized UTlPt structure. The functional is GGA-PBE.

Properties
SG   F-43m (216)
Raw total energy   -6.70 eV/atom

Structure (POSCAR):
```
UTlPt
1.0
6.7284 0.0000 0.0000
0.0000 6.7284 0.0000
0.0000 0.0000 6.7284
U Tl Pt
4 4 4
Cartesian
0.0000 0.0000 0.0000
0.0000 3.3642 3.3642
3.3642 0.0000 3.3642
3.3642 3.3642 0.0000
0.0000 0.0000 3.3642
0.0000 3.3642 0.0000
3.3642 0.0000 0.0000
3.3642 3.3642 3.3642
1.6821 1.6821 5.0463
1.6821 5.0463 1.6821
5.0463 1.6821 1.6821
5.0463 5.0463 5.0463
```



This record from the Open Quantum Materials Database describes a geometry-optimized Ba2MgPtSe6 structure. The functional is GGA-PBE.

Properties
SG   Fm-3m (225)
Raw total energy   -4.16 eV/atom

Structure (POSCAR):
```
Ba2MgPtSe6
1.0
0.0000 5.1294 5.1294
5.1294 0.0000 5.1294
5.1294 5.1294 0.0000
Ba Mg Pt Se
2 1 1 6
Cartesian
2.5647 2.5647 2.5647
7.6941 7.6941 7.6941
0.0000 0.0000 0.0000
5.1294 5.1294 5.1294
5.1294 5.1294 2.6276
5.1294 2.6276 5.1294
7.6312 5.1294 5.1294
2.6276 5.1294 5.1294
5.1294 7.6312 5.1294
5.1294 5.1294 7.6312
```



This record from the Open Quantum Materials Database describes a geometry-optimized RbCuTePt structure. The functional is GGA-PBE.

Properties
ΔE to the lowest computed polymorph   1.1 kJ/mol of atoms
SG   F-43m (216)

Structure (POSCAR):
```
RbCuTePt
1.0
7.1183 0.0000 0.0000
0.0000 7.1183 0.0000
0.0000 0.0000 7.1183
Rb Cu Te Pt
4 4 4 4
Cartesian
0.0000 0.0000 0.0000
0.0000 3.5592 3.5592
3.5592 0.0000 3.5592
3.5592 3.5592 0.0000
1.7796 1.7796 5.3388
1.7796 5.3388 1.7796
5.3388 1.7796 1.7796
5.3388 5.3388 5.3388
1.7796 1.7796 1.7796
1.7796 5.3388 5.3388
5.3388 1.7796 5.3388
5.3388 5.3388 1.7796
0.0000 0.0000 3.5592
0.0000 3.5592 0.0000
3.5592 0.0000 0.0000
3.5592 3.5592 3.5592
```



This record from the Open Quantum Materials Database describes a geometry-optimized TlHg3OsS4 structure. The functional is GGA-PBE.

Properties
SG   P-43m (215)
Raw total energy   -3.32 eV/atom

Structure (POSCAR):
```
TlHg3OsS4
1.0
7.3256 0.0000 0.0000
0.0000 7.3256 0.0000
0.0000 0.0000 7.3256
Tl Hg Os S
1 3 1 4
Cartesian
0.0000 0.0000 0.0000
0.0000 3.6628 3.6628
3.6628 0.0000 3.6628
3.6628 3.6628 0.0000
3.6628 3.6628 3.6628
2.4078 2.4078 2.4078
2.4078 4.9178 4.9178
4.9178 2.4078 4.9178
4.9178 4.9178 2.4078
```



This record from the Open Quantum Materials Database describes a geometry-optimized AlNiOsPd structure. The functional is GGA-PBE.

Properties
SG   F-43m (216)
Raw total energy   -6.38 eV/atom

Structure (POSCAR):
```
AlNiOsPd
1.0
6.0522 0.0000 0.0000
0.0000 6.0522 0.0000
0.0000 0.0000 6.0522
Al Ni Os Pd
4 4 4 4
Cartesian
0.0000 0.0000 0.0000
0.0000 3.0261 3.0261
3.0261 0.0000 3.0261
3.0261 3.0261 0.0000
1.5130 1.5130 1.5130
1.5130 4.5391 4.5391
4.5391 1.5130 4.5391
4.5391 4.5391 1.5130
0.0000 0.0000 3.0261
0.0000 3.0261 0.0000
3.0261 0.0000 0.0000
3.0261 3.0261 3.0261
1.5130 1.5130 4.5391
1.5130 4.5391 1.5130
4.5391 1.5130 1.5130
4.5391 4.5391 4.5391
```



This record from the Open Quantum Materials Database describes a geometry-optimized KRbHo structure. The functional is GGA-PBE.

Properties
ΔE to the lowest computed polymorph   0.0 kJ/mol of atoms
SG   F-43m (216)

Structure (POSCAR):
```
KRbHo
1.0
9.3531 0.0000 0.0000
0.0000 9.3531 0.0000
0.0000 0.0000 9.3531
K Rb Ho
4 4 4
Cartesian
0.0000 0.0000 0.0000
0.0000 4.6766 4.6766
4.6766 0.0000 4.6766
4.6766 4.6766 0.0000
2.3383 2.3383 2.3383
2.3383 7.0148 7.0148
7.0148 2.3383 7.0148
7.0148 7.0148 2.3383
2.3383 2.3383 7.0148
2.3383 7.0148 2.3383
7.0148 2.3383 2.3383
7.0148 7.0148 7.0148
```



This record from the Open Quantum Materials Database describes a geometry-optimized Li2TbCuP2 structure. The functional is GGA-PBE.

Properties
SG   P-3m1 (164)
Raw total energy   -4.60 eV/atom

Structure (POSCAR):
```
Li2TbCuP2
1.0
4.0715 0.0000 0.0000
-2.0357 3.5260 0.0000
0.0000 0.0000 6.4384
Li Tb Cu P
2 1 1 2
Cartesian
0.0000 2.3507 0.9322
2.0357 1.1753 5.5062
0.0000 0.0000 3.2192
0.0000 0.0000 0.0000
0.0000 2.3507 4.8746
2.0357 1.1753 1.5638
```



This record from the Open Quantum Materials Database describes a geometry-optimized PrIn structure. The functional is GGA-PBE.

Properties
SG   Pm-3m (221)
Raw total energy   -4.25 eV/atom

Structure (POSCAR):
```
PrIn
1.0
3.8971 0.0000 0.0000
0.0000 3.8971 0.0000
0.0000 0.0000 3.8971
Pr In
1 1
Cartesian
0.0000 0.0000 0.0000
1.9485 1.9485 1.9485
```



This record from the Open Quantum Materials Database describes a geometry-optimized SrSiSn2Ir structure. The functional is GGA-PBE.

Properties
SG   I4mm (107)
Raw total energy   -5.29 eV/atom

Structure (POSCAR):
```
SrSiSn2Ir
1.0
4.7114 0.0000 0.0000
0.0000 4.7114 0.0000
0.0000 0.0000 10.6620
Sr Si Sn Ir
2 2 4 2
Cartesian
0.0000 0.0000 0.0000
2.3557 2.3557 5.3310
0.0000 0.0000 6.1507
2.3557 2.3557 0.8197
0.0000 2.3557 2.5971
0.0000 2.3557 7.9281
2.3557 0.0000 2.5971
2.3557 0.0000 7.9281
0.0000 0.0000 3.8686
2.3557 2.3557 9.1996
```



This record from the Open Quantum Materials Database describes a geometry-optimized PrNbGe structure. The functional is GGA-PBE.

Properties
SG   F-43m (216)
Raw total energy   -5.95 eV/atom

Structure (POSCAR):
```
PrNbGe
1.0
6.7893 0.0000 0.0000
0.0000 6.7893 0.0000
0.0000 0.0000 6.7893
Pr Nb Ge
4 4 4
Cartesian
0.0000 0.0000 0.0000
0.0000 3.3947 3.3947
3.3947 0.0000 3.3947
3.3947 3.3947 0.0000
1.6973 1.6973 5.0920
1.6973 5.0920 1.6973
5.0920 1.6973 1.6973
5.0920 5.0920 5.0920
0.0000 0.0000 3.3947
0.0000 3.3947 0.0000
3.3947 0.0000 0.0000
3.3947 3.3947 3.3947
```



This record from the Open Quantum Materials Database describes a geometry-optimized YFe2Ni2 structure. The functional is GGA-PBE.

Properties
DFT formation energy   -0.099 eV per atom
SG   I4/mmm (139)

Structure (POSCAR):
```
YFe2Ni2
1.0
3.8187 0.0000 0.0000
0.0000 3.8187 0.0000
0.0000 0.0000 10.2222
Y Fe Ni
2 4 4
Cartesian
0.0000 0.0000 0.0000
1.9094 1.9094 5.1111
0.0000 1.9094 2.5556
0.0000 1.9094 7.6667
1.9094 0.0000 2.5556
1.9094 0.0000 7.6667
0.0000 0.0000 3.9542
0.0000 0.0000 6.2680
1.9094 1.9094 1.1569
1.9094 1.9094 9.0653
```



This record from the Open Quantum Materials Database describes a geometry-optimized Li6Zr6HCl18 structure. The functional is GGA-PBE.

Properties
SG   R-3 (148)
Raw total energy   -4.86 eV/atom

Structure (POSCAR):
```
Li6Zr6HCl18
1.0
7.9695 4.6012 2.9566
-7.9695 4.6012 2.9566
0.0000 -9.2024 2.9566
Li Zr H Cl
6 6 1 18
Cartesian
-3.5695 -1.4007 4.3722
-0.5717 -3.7917 4.4976
-2.9978 2.3909 4.4976
2.9978 -2.3909 4.3722
0.5717 3.7917 4.3722
3.5695 1.4007 4.4976
-1.1056 -1.4667 1.2946
-0.7174 1.6908 1.2946
1.8230 -0.2241 1.2946
-1.8230 0.2241 7.5752
0.7174 -1.6908 7.5752
1.1056 1.4667 7.5752
0.0000 0.0000 0.0000
-2.4191 -3.1530 2.9464
-5.0870 2.4250 2.9668
0.4434 -5.6180 2.9668
-2.0902 0.2628 2.9497
-4.6436 -3.1929 5.9030
0.8175 -1.9415 2.9497
-1.5211 3.6715 2.9464
-3.9402 0.5185 5.9234
1.2726 1.6788 2.9497
-1.2726 -1.6788 5.9201
3.9402 -0.5185 2.9464
1.5210 -3.6715 5.9234
-0.8175 1.9415 5.9201
4.6436 3.1929 2.9668
2.0902 -0.2628 5.9201
-0.4434 5.6180 5.9030
5.0870 -2.4250 5.9030
2.4191 3.1530 5.9234
```



This record from the Open Quantum Materials Database describes a geometry-optimized TbTmSi2Sn2 structure. The functional is GGA-PBE.

Properties
SG   Amm2 (38)
Raw total energy   -5.20 eV/atom

Structure (POSCAR):
```
TbTmSi2Sn2
1.0
3.9413 0.0000 0.0000
0.0000 4.2667 0.0000
0.0000 0.0000 16.3091
Tb Tm Si Sn
2 2 4 4
Cartesian
0.0000 0.0000 0.0000
0.0000 2.1333 8.1545
1.9706 0.0000 13.2642
1.9706 2.1333 5.1096
0.0000 0.0000 5.8286
0.0000 2.1333 13.9832
1.9706 0.0000 7.3386
1.9706 2.1333 15.4932
0.0000 0.0000 10.6022
0.0000 2.1333 2.4477
1.9706 0.0000 2.7151
1.9706 2.1333 10.8696
```



This record from the Open Quantum Materials Database describes a geometry-optimized Y2Fe3B4Ir2 structure. The functional is GGA-PBE.

Properties
ΔE to the lowest computed polymorph   2.5 kJ/mol of atoms
SG   Fmmm (69)

Structure (POSCAR):
```
Y2Fe3B4Ir2
1.0
0.0000 4.6676 5.6368
2.6614 0.0000 5.6368
2.6614 4.6676 0.0000
Y Fe B Ir
2 3 4 2
Cartesian
2.6614 4.6676 1.5595
2.6614 4.6676 9.7141
1.3307 2.3338 0.0000
1.3307 2.3338 5.6368
2.6614 4.6676 5.6368
2.6614 3.2125 4.2409
2.6614 3.2125 7.0327
2.6614 6.1227 4.2409
2.6614 6.1227 7.0327
1.3307 2.3338 2.8184
3.9921 7.0014 8.4552
```



This record from the Open Quantum Materials Database describes a geometry-optimized DyUCd structure. The functional is GGA-PBE.

Properties
DFT formation energy   1.091 eV per atom
SG   F-43m (216)

Structure (POSCAR):
```
DyUCd
1.0
7.0980 0.0000 0.0000
0.0000 7.0980 0.0000
0.0000 0.0000 7.0980
Dy U Cd
4 4 4
Cartesian
0.0000 0.0000 0.0000
0.0000 3.5490 3.5490
3.5490 0.0000 3.5490
3.5490 3.5490 0.0000
1.7745 1.7745 5.3235
1.7745 5.3235 1.7745
5.3235 1.7745 1.7745
5.3235 5.3235 5.3235
0.0000 0.0000 3.5490
0.0000 3.5490 0.0000
3.5490 0.0000 0.0000
3.5490 3.5490 3.5490
```



This record from the Open Quantum Materials Database describes a geometry-optimized FeGeN2 structure. The functional is GGA-PBE.

Properties
SG   Pna2_1 (33)
Raw total energy   -7.26 eV/atom

Structure (POSCAR):
```
FeGeN2
1.0
5.3375 0.0000 0.0000
0.0000 6.5230 0.0000
0.0000 0.0000 5.2849
Fe Ge N
4 4 8
Cartesian
0.3890 0.9302 0.0000
2.2797 4.1917 2.6424
3.0577 2.3313 0.0000
4.9485 5.5927 2.6424
0.4279 4.0719 5.2155
2.2408 0.8104 2.5731
3.0966 5.7126 5.2155
4.9096 2.4511 2.5731
0.3728 3.9550 1.8031
0.4552 0.8908 2.0324
2.2135 4.1523 4.6749
2.2959 0.6935 4.4456
3.0416 5.8295 1.8031
3.1240 2.3707 2.0324
4.8822 5.6322 4.6749
4.9646 2.5680 4.4456
```



This record from the Open Quantum Materials Database describes a geometry-optimized TaZn2Si structure. The functional is GGA-PBE.

Properties
SG   F-43m (216)
Raw total energy   -4.63 eV/atom

Structure (POSCAR):
```
TaZn2Si
1.0
6.2548 0.0000 0.0000
0.0000 6.2548 0.0000
0.0000 0.0000 6.2548
Ta Zn Si
4 8 4
Cartesian
0.0000 0.0000 0.0000
0.0000 3.1274 3.1274
3.1274 0.0000 3.1274
3.1274 3.1274 0.0000
0.0000 0.0000 3.1274
0.0000 3.1274 0.0000
1.5637 1.5637 1.5637
1.5637 4.6911 4.6911
3.1274 0.0000 0.0000
3.1274 3.1274 3.1274
4.6911 1.5637 4.6911
4.6911 4.6911 1.5637
1.5637 1.5637 4.6911
1.5637 4.6911 1.5637
4.6911 1.5637 1.5637
4.6911 4.6911 4.6911
```



This record from the Open Quantum Materials Database describes a geometry-optimized Ba2Ta2O5 structure. The functional is GGA-PBE.

Properties
ΔE to the lowest computed polymorph   259.7 kJ/mol of atoms
SG   P4/mmm (123)

Structure (POSCAR):
```
Ba2Ta2O5
1.0
4.7421 0.0000 0.0000
0.0000 4.7421 0.0000
0.0000 0.0000 7.2931
Ba Ta O
2 2 5
Cartesian
0.0000 0.0000 1.4544
0.0000 0.0000 5.8387
2.3711 2.3711 0.0000
2.3711 2.3711 3.6466
0.0000 0.0000 3.6466
0.0000 2.3711 1.7578
0.0000 2.3711 5.5353
2.3711 0.0000 1.7578
2.3711 0.0000 5.5353
```